# RbBa2

A relaxed RbBa2 crystal (PBE, Alexandria via LeMat-Bulk).

a = 12.869 Å, b = 7.407 Å, c = 4.455 Å
α = 90.00°, β = 90.24°, γ = 90.00°
Positions (direct):
Rb  0.000  0.000  0.000
Rb  0.500  0.500  0.000
Ba  0.167  0.500  0.709
Ba  0.333  0.000  0.294
Ba  0.667  0.000  0.709
Ba  0.833  0.500  0.294

Computed properties:
Density of states at the Fermi level, states/eV/f.u.: 4.42
Energy of formation, eV per atom: 0.134
E, eV/cell: -8.82